1.
{
  "formula": "AcCeY2N4",
  "functional": "PBE",
  "state": "relaxed",
  "total_energy_ev_per_atom": -8.44,
  "rho_g_cm3": 7.48,
  "raw_formation_energy_mev_per_atom": -1409.2,
  "lattice_angstrom": [[-1.530, -1.324, -2.981], [5.248, 1.162, -3.210], [3.745, -5.008, 0.302]],
  "species": ["Ac", "Ce", "Y", "Y", "N", "N", "N", "N"],
  "frac_coords": [[0.000, 0.500, 0.500], [0.500, 0.500, 0.000], [0.000, 0.000, 0.000], [0.500, 0.000, 0.500], [0.000, 0.759, 0.758], [0.000, 0.241, 0.242], [0.500, 0.764, 0.229], [0.500, 0.236, 0.771]]
}

=====

2.
{
  "formula": "CsBOsO6",
  "functional": "PBE",
  "state": "relaxed",
  "total_energy_ev_per_atom": -6.86,
  "rho_g_cm3": 4.08,
  "raw_formation_energy_mev_per_atom": -1466.0,
  "lattice_angstrom": [[-0.089, -4.932, 3.212], [4.841, -2.482, 1.719], [-0.432, 3.208, 5.164]],
  "species": ["Cs", "B", "Os", "O", "O", "O", "O", "O", "O"],
  "frac_coords": [[0.998, 0.047, 0.021], [0.876, 0.718, 0.449], [0.328, 0.302, 0.522], [0.030, 0.512, 0.293], [0.200, 0.083, 0.504], [0.428, 0.290, 0.791], [0.002, 0.644, 0.650], [0.475, 0.448, 0.369], [0.662, 0.957, 0.401]]
}

=====

3.
{
  "formula": "CuSbSe2",
  "functional": "PBE",
  "state": "relaxed",
  "total_energy_ev_per_atom": -3.80,
  "rho_g_cm3": 6.68,
  "raw_formation_energy_mev_per_atom": -5.7,
  "lattice_angstrom": [[4.000, 0.000, 0.000], [0.000, 4.791, 0.102], [0.000, 1.684, 4.484]],
  "species": ["Cu", "Sb", "Se", "Se"],
  "frac_coords": [[0.500, 0.250, 0.250], [0.500, 0.750, 0.750], [0.000, 0.017, 0.017], [0.000, 0.483, 0.483]]
}

=====

4.
{
  "formula": "HfVHg",
  "functional": "PBE",
  "state": "relaxed",
  "total_energy_ev_per_atom": -5.77,
  "formation_enthalpy_0k_ev_per_atom": 0.683,
  "relative_energy_ev_per_fu": 1.58,
  "rho_g_cm3": 11.21,
  "lattice_angstrom": [[4.624, 0.000, 0.000], [2.312, 4.005, 0.000], [2.312, 1.335, 6.878]],
  "species": ["V", "V", "Hg", "Hg", "Hf", "Hf"],
  "frac_coords": [[0.307, 0.307, 0.080], [0.693, 0.693, 0.920], [0.137, 0.137, 0.590], [0.863, 0.863, 0.410], [0.425, 0.425, 0.724], [0.575, 0.575, 0.276]]
}

=====

Repeat the second record exactly.
{
  "formula": "CsBOsO6",
  "functional": "PBE",
  "state": "relaxed",
  "total_energy_ev_per_atom": -6.86,
  "rho_g_cm3": 4.08,
  "raw_formation_energy_mev_per_atom": -1466.0,
  "lattice_angstrom": [[-0.089, -4.932, 3.212], [4.841, -2.482, 1.719], [-0.432, 3.208, 5.164]],
  "species": ["Cs", "B", "Os", "O", "O", "O", "O", "O", "O"],
  "frac_coords": [[0.998, 0.047, 0.021], [0.876, 0.718, 0.449], [0.328, 0.302, 0.522], [0.030, 0.512, 0.293], [0.200, 0.083, 0.504], [0.428, 0.290, 0.791], [0.002, 0.644, 0.650], [0.475, 0.448, 0.369], [0.662, 0.957, 0.401]]
}